Entry 1:
This record from Alexandria describes an optimized crystal structure of ZnAuN. The functional is PBE-GGA.

Structure (POSCAR):
```
ZnAuN
1.0
2.818 0.000 0.000
0.001 4.460 0.000
0.117 0.166 11.439
Zn Au N
2 2 2
direct
0.000 0.000 0.000
0.495 0.500 0.244
0.500 0.500 0.991
0.994 0.999 0.253
0.247 0.159 0.656
0.251 0.344 0.589
```

Theoretical density   6.4 g cm⁻³
ΔE_f (raw)   0.0122 eV per atom
DOS at the Fermi energy   1.28 states/eV per cell

Entry 2:
This record from Alexandria describes an optimized crystal structure of Zr4Au2N. The functional is PBE-GGA.

Structure (POSCAR):
```
Zr4Au2N
1.0
7.592 0.000 0.000
0.000 10.636 0.000
0.000 0.000 3.357
Zr Au N
8 4 2
direct
0.137 0.187 0.000
0.178 0.937 0.500
0.322 0.437 0.500
0.363 0.687 0.000
0.637 0.313 0.000
0.678 0.563 0.500
0.822 0.063 0.500
0.863 0.813 0.000
0.051 0.635 0.500
0.449 0.135 0.500
0.551 0.865 0.500
0.949 0.365 0.500
0.000 0.000 0.000
0.500 0.500 0.000
```

Theoretical density   9.5 g cm⁻³
Energy above the most stable polymorph in this dataset   14 meV per atom
ΔE_f (raw)   -0.7165 eV per atom
DOS at the Fermi energy   8.26 states/eV per cell

Entry 3:
This record from Alexandria describes an optimized crystal structure of Zr5AuN. The functional is PBE-GGA.

Structure (POSCAR):
```
Zr5AuN
1.0
5.121 -3.048 0.000
5.121 3.048 0.000
-3.387 0.000 8.912
Zr Au N
10 2 2
direct
0.033 0.375 0.628
0.034 0.966 0.750
0.195 0.572 0.969
0.375 0.033 0.128
0.428 0.805 0.531
0.572 0.195 0.469
0.625 0.967 0.872
0.805 0.428 0.031
0.966 0.034 0.250
0.967 0.625 0.372
0.495 0.505 0.250
0.505 0.495 0.750
0.000 0.000 0.000
0.000 0.000 0.500
```

Theoretical density   8.0 g cm⁻³
ΔE_f (raw)   -0.5533 eV per atom
DOS at the Fermi energy   13.46 states/eV per cell

Entry 4:
This record from Alexandria describes an optimized crystal structure of Zr3AuN. The functional is PBE-GGA.

Structure (POSCAR):
```
Zr3AuN
1.0
6.627 0.000 0.000
-3.313 5.739 0.000
0.000 0.000 7.822
Zr Au N
9 3 3
direct
0.001 0.500 0.000
0.166 0.333 0.333
0.166 0.834 0.333
0.334 0.167 0.667
0.500 0.500 0.000
0.500 0.999 0.000
0.667 0.834 0.333
0.833 0.167 0.667
0.833 0.666 0.667
0.000 0.000 0.958
0.333 0.667 0.625
0.667 0.333 0.292
0.000 0.000 0.246
0.333 0.667 0.913
0.667 0.333 0.579
```

Theoretical density   8.1 g cm⁻³
ΔE_f (raw)   -0.3675 eV per atom
DOS at the Fermi energy   18.39 states/eV per cell

Entry 5:
This record from Alexandria describes an optimized crystal structure of Zr3AuN. The functional is PBE-GGA.

Structure (POSCAR):
```
Zr3AuN
1.0
6.732 -5.034 0.000
6.732 5.034 0.000
-1.400 0.000 5.878
Zr Au N
12 4 4
direct
0.010 0.235 0.119
0.078 0.595 0.371
0.235 0.010 0.619
0.279 0.374 0.923
0.374 0.279 0.423
0.405 0.922 0.129
0.595 0.078 0.871
0.626 0.721 0.577
0.721 0.626 0.077
0.765 0.990 0.381
0.922 0.405 0.629
0.990 0.765 0.881
0.333 0.667 0.750
0.372 0.628 0.250
0.628 0.372 0.750
0.667 0.333 0.250
0.097 0.222 0.808
0.222 0.097 0.308
0.778 0.903 0.692
0.903 0.778 0.192
```

Theoretical density   8.1 g cm⁻³
ΔE_f (raw)   -0.6704 eV per atom
DOS at the Fermi energy   12.48 states/eV per cell

Entry 6:
This record from Alexandria describes an optimized crystal structure of Zr3AuN. The functional is PBE-GGA.

Structure (POSCAR):
```
Zr3AuN
1.0
3.258 0.000 0.000
0.030 4.920 0.000
1.182 0.084 11.243
Zr Au N
6 2 2
direct
0.000 0.000 0.000
0.046 0.502 0.704
0.324 0.022 0.527
0.443 0.495 0.172
0.841 0.518 0.430
0.904 0.006 0.274
0.485 0.494 0.916
0.570 0.997 0.768
0.371 0.265 0.355
0.454 0.968 0.132
```

Theoretical density   8.9 g cm⁻³
ΔE_f (raw)   -0.8753 eV per atom
DOS at the Fermi energy   11.98 states/eV per cell